#A
8
Lattice="-2.2009 0.8922 -4.0995 -1.6491 -3.5783 -2.6311 -13.8606 -0.1785 4.6649" Properties=species:S:1:pos:R:3 comment="PBE BiTe4Pb3, optimized geometry" spacegroup="R-3m, No. 166" m_tot_mub_per_cell=0.000 pbc="T T T"
Te -13.6632 -1.1583 1.6080
Te -9.1822 -0.4452 2.0951
Te -4.0475 -1.7063 -3.6737
Te -8.5285 -2.4194 -4.1608
Pb -8.8553 -1.4323 -1.0329
Pb -13.2994 -2.1475 -1.5403
Pb -4.4112 -0.7171 -0.5255
Bi 0.0000 0.0000 0.0000

***

#B
16
Lattice="6.5696 0.0000 0.0000 0.0000 6.5719 0.0000 0.0000 0.0000 12.9758" Properties=species:S:1:pos:R:3 comment="PBE BiTe4Pb3, optimized geometry" spacegroup="Pmmn, No. 59" m_tot_mub_per_cell=0.003 pbc="T T T"
Te 3.7078 4.9265 3.3162
Te 0.4236 4.9478 0.0000
Te 3.7084 1.6241 6.4879
Te 0.4230 1.6454 9.8040
Te 0.4248 4.9167 6.4879
Te 3.7096 1.6552 0.0000
Te 3.7078 4.9265 9.6596
Te 0.4230 1.6454 3.1717
Pb 0.4217 4.9317 3.2428
Pb 3.7065 1.6402 9.7307
Pb 3.7065 1.6402 3.2451
Pb 3.7073 4.9415 0.0000
Pb 0.4217 4.9317 9.7330
Pb 0.4225 1.6304 6.4879
Bi 0.4247 1.6583 0.0000
Bi 3.7095 4.9136 6.4879

***

Q: Which of them is the most stable? A: #B.

***

#A
10
Lattice="-1.3714 -1.9231 3.8456 5.1751 -3.4265 -4.9661 7.0313 5.5016 7.8995" Properties=species:S:1:pos:R:3 comment="PBE BiTePb3, optimized geometry" spacegroup="P-1, No. 2" m_tot_mub_per_cell=0.000 pbc="T T T"
Pb 6.5207 -0.4960 -0.3640
Pb 7.2199 3.1291 9.3933
Pb 3.6151 -2.9770 -2.6142
Pb 8.7850 -0.5788 5.7049
Pb 4.3143 0.6481 7.1431
Pb 2.0501 0.7308 1.0742
Bi 7.0408 2.3397 6.3084
Bi 3.7943 -2.1876 0.4707
Te 7.5477 -0.2710 2.7576
Te 3.2874 0.4230 4.0215

***

#B
5
Lattice="5.9633 0.0000 0.0000 0.0000 5.9633 0.0000 0.0000 0.0000 5.9633" Properties=species:S:1:pos:R:3 comment="PBE BiTePb3, optimized geometry" spacegroup="Pm-3m, No. 221" m_tot_mub_per_cell=0.000 pbc="T T T"
Te 0.0000 0.0000 0.0000
Bi 2.9817 2.9817 2.9817
Pb 0.0000 0.0000 2.9817
Pb 2.9817 0.0000 0.0000
Pb 0.0000 2.9817 0.0000

***

Q: Which of them is the most stable? A: #A.